No. 1
Computed, not measured: a relaxed Dy2Ho4Tl crystal at the PBE level of DFT.

Structure (POSCAR):
```
Dy2Ho4Tl
1.0
-3.544 1.280 4.182
-5.028 -2.940 -3.361
4.305 -10.525 2.767
Ho Dy Tl
8 4 2
Cartesian
-2.663 -6.304 -0.593
-3.249 -9.874 0.176
-0.741 -2.221 -0.312
-1.604 -5.881 4.180
-3.526 -9.964 3.899
-3.433 -3.723 1.797
-0.835 -8.462 1.790
-1.018 -2.311 3.411
-0.169 -5.063 1.318
1.426 -10.488 3.677
-4.098 -7.122 2.269
-5.693 -1.697 -0.090
-3.623 -3.524 -1.589
-0.645 -8.661 5.176
```

Crystal system: monoclinic

***

No. 2
Computed, not measured: a relaxed Dy3Ho2Tl4 crystal at the PBE level of DFT.

Structure (POSCAR):
```
Dy3Ho2Tl4
1.0
7.168 0.000 0.000
0.000 9.500 0.000
-3.584 0.000 7.842
Tl Dy Ho
8 6 4
Cartesian
5.376 2.375 0.199
1.792 7.125 7.643
3.584 5.061 3.040
1.792 2.375 0.199
-1.792 7.125 7.643
0.000 9.189 3.040
0.000 4.439 4.802
3.584 0.311 4.802
0.000 0.000 0.000
1.792 2.375 3.319
5.376 2.375 3.319
1.792 7.125 4.523
3.584 4.750 0.000
-1.792 7.125 4.523
0.000 0.558 6.138
0.000 5.308 1.704
3.584 4.192 6.138
3.584 8.942 1.704
```

Crystal system: orthorhombic

***

No. 3
Computed, not measured: a relaxed Dy2Ho8Tl crystal at the PBE level of DFT.

Structure (POSCAR):
```
Dy2Ho8Tl
1.0
-4.331 2.488 2.025
-3.715 -1.278 -6.375
1.200 -8.075 5.317
Ho Dy Tl
8 2 1
Cartesian
-2.906 -5.707 0.798
-5.662 -1.751 -2.787
-4.102 -5.921 5.676
-1.030 -2.727 1.147
-1.183 -5.114 3.754
-5.815 -4.139 -0.180
-3.940 -1.158 0.169
-2.744 -0.944 -4.709
-2.949 -3.527 -1.973
-3.897 -3.338 2.939
-2.165 1.244 1.012
```

Crystal system: orthorhombic

***

No. 4
Computed, not measured: a relaxed Dy2Ho2Tl crystal at the PBE level of DFT.

Structure (POSCAR):
```
Dy2Ho2Tl
1.0
-1.855 3.776 -2.040
-5.907 0.127 5.608
4.584 4.802 4.720
Ho Dy Tl
4 4 2
Cartesian
-4.343 3.674 5.391
-0.879 6.049 6.638
-2.300 2.657 1.650
1.165 5.032 2.897
0.731 1.706 2.492
-2.054 3.224 7.836
-3.151 0.797 4.340
1.827 4.132 5.988
-0.662 2.465 5.164
0.000 0.000 0.000
```

Crystal system: tetragonal

***

No. 5
Computed, not measured: a relaxed DyHo2Tl2 crystal at the PBE level of DFT.

Structure (POSCAR):
```
DyHo2Tl2
1.0
-3.125 1.245 4.018
-5.873 -3.065 -0.198
-1.390 -6.805 7.858
Ho Tl Dy
4 4 2
Cartesian
-8.500 -7.593 9.418
-4.852 -2.609 3.874
-5.537 -6.016 7.803
-1.888 -1.032 2.260
-5.073 -2.783 7.176
-4.632 -2.420 0.578
-5.315 -5.842 4.502
-5.757 -6.205 11.100
-2.585 -4.437 6.207
-7.804 -4.189 5.471
```

Crystal system: triclinic

***

No. 6
Computed, not measured: a relaxed DyHo5Tl crystal at the PBE level of DFT.

Structure (POSCAR):
```
DyHo5Tl
1.0
5.913 0.000 0.000
0.000 8.404 0.000
-2.957 -4.202 5.701
Dy Ho Tl
1 5 1
Cartesian
3.949 4.202 0.000
2.423 6.948 0.000
0.937 4.202 0.000
2.423 1.456 0.000
0.015 0.000 2.832
2.972 4.202 2.868
5.201 0.000 0.000
```

Crystal system: orthorhombic

***

Total magnetic moment, respectively: 0.0000 0.0000 0.0000 0.0000 0.0000 0.0003 μB/atom.
V, respectively: 30.6 29.7 31.5 31.0 28.1 40.5 Å³ per atom.
Formation energy, respectively: 0.004 -0.181 0.025 0.059 -0.278 0.827 eV/atom.